(1)
Crystalline Nd8GeTe3S3 at its relaxed geometry, computed with PBE.

The structure in POSCAR format:
```
Nd8GeTe3S3
1.0
8.424 0.000 0.000
-4.212 7.296 -0.027
0.000 -4.838 7.217
Nd Ge Te S
8 1 3 3
Direct
0.264 0.529 0.293
0.736 0.471 0.707
0.757 0.513 0.281
0.243 0.487 0.719
0.757 0.024 0.281
0.243 0.976 0.719
0.267 0.024 0.281
0.733 0.976 0.719
0.000 0.000 0.500
0.000 0.000 0.000
0.000 0.500 0.000
0.500 0.500 0.000
0.500 0.000 0.500
0.500 0.500 0.500
0.000 0.500 0.500
```

Summary:
Symmetry: R-3m
Raw total energy in eV per atom: -5.818
Formation energy without anion corrections in eV per atom: -1.51
M_tot in μB/f.u.: 0.00

(2)
Crystalline Nd6Ge3TeS2 at its relaxed geometry, computed with PBE.

The structure in POSCAR format:
```
Nd6Ge3TeS2
1.0
-0.961 -3.878 1.510
4.855 -3.585 -6.116
6.436 3.211 6.302
Nd Ge Te S
6 3 1 2
Direct
0.326 0.913 0.653
0.667 0.584 0.335
0.674 0.087 0.347
0.002 0.267 0.005
0.998 0.733 0.995
0.333 0.416 0.665
0.500 0.500 0.000
0.836 0.169 0.671
0.164 0.831 0.329
0.500 0.000 0.000
0.831 0.664 0.663
0.169 0.336 0.337
```

Summary:
Symmetry: C2/m
Raw total energy in eV per atom: -5.833
Formation energy without anion corrections in eV per atom: -1.35
M_tot in μB/f.u.: 0.00

(3)
Crystalline NdThGeS at its relaxed geometry, computed with PBE.

The structure in POSCAR format:
```
NdThGeS
1.0
-3.809 0.371 -1.813
-3.487 -1.026 2.171
-2.889 6.109 2.376
Nd Th Ge S
1 1 1 1
Direct
0.944 0.944 0.169
0.445 0.445 0.666
0.695 0.695 0.914
0.193 0.193 0.422
```

Summary:
Symmetry: R3m
Raw total energy in eV per atom: -6.622
Formation energy without anion corrections in eV per atom: -1.39
M_tot in μB/f.u.: 0.00

- The lowest formation energy without anion corrections belongs to which entry?
  Nd8GeTe3S3